# 1
Na2ScAuO4 GGA-PBE relaxed; D(E_F) = 4.31 states/eV/cell; E_form (uncorrected) = -1.3269 eV/atom; electronic total energy = -5.34 eV per atom; symmetry = I-42m
1.0
-3.050 3.050 2.909
3.050 -3.050 2.909
3.050 3.050 -2.909
Na Sc Au O
2 1 1 4
Cartesian
3.050 0.000 0.000 Na
0.000 3.050 0.000 Na
0.000 0.000 0.000 Sc
0.000 0.000 2.909 Au
1.980 1.980 -1.583 O
1.070 1.070 1.326 O
1.070 -1.070 4.492 O
-1.070 1.070 4.492 O



# 2
Zr5Se8 GGA-PBE relaxed; polymorph energy (0 for the lowest one) = 0.0000 eV per atom; D(E_F) = 4.38 states/eV/cell; E_form (uncorrected) = -1.3025 eV/atom; electronic total energy = -6.73 eV per atom; symmetry = Cm
1.0
13.176 -1.877 0.000
13.176 1.877 0.000
-0.383 0.000 6.479
Zr Se
5 8
Cartesian
0.000 0.000 0.000 Zr
6.316 0.000 4.911 Zr
9.720 0.000 0.831 Zr
13.031 0.000 3.254 Zr
19.828 0.000 1.641 Zr
1.383 0.000 4.428 Se
4.917 0.000 2.601 Se
8.240 0.000 2.964 Se
11.180 0.000 5.252 Se
14.716 0.000 1.172 Se
17.837 0.000 5.907 Se
21.235 0.000 5.924 Se
24.523 0.000 2.107 Se



# 3
GdDyMgHg GGA-PBE relaxed; D(E_F) = 3.74 states/eV/cell; formation enthalpy at 0 K = -281 meV/atom; electronic total energy = -5.43 eV per atom; symmetry = F-43m
1.0
0.000 3.755 3.755
3.755 0.000 3.755
3.755 3.755 0.000
Gd Dy Mg Hg
1 1 1 1
Cartesian
0.000 0.000 0.000 Gd
3.755 3.755 3.755 Dy
1.878 1.878 1.878 Mg
5.633 5.633 5.633 Hg



# 4
CaCu2Se GGA-PBE relaxed; D(E_F) = 1.54 states/eV/cell; E_form (uncorrected) = -0.2782 eV/atom; electronic total energy = -3.70 eV per atom; symmetry = I4/mmm
1.0
-1.972 1.972 4.892
1.972 -1.972 4.892
1.972 1.972 -4.892
Ca Cu Se
1 2 1
Cartesian
0.000 0.000 0.000 Ca
1.972 0.000 2.446 Cu
0.000 1.972 2.446 Cu
0.000 0.000 4.892 Se